Below is LiAgCl2 after structural relaxation, with properties calculated at the PBE-GGA level.

Calculated values
* VASP energy: -3.197 eV/atom

abc: 3.7941 3.7941 22.2754
angles: 90.00 90.00 120.00
With the nearest neighbours (Å) after each atom.
Space group R-3m (No. 166, hexagonal axes)
Symmetry-distinct sites (fractional):
Li: 0.0000 0.0000 0.0000 (multiplicity 3)  6 Cl 2.58
Ag: 0.0000 0.0000 0.5000 (multiplicity 3)  2 Cl 2.36
Cl: 0.0000 0.0000 0.3942 (multiplicity 6)  1 Ag 2.36, 3 Li 2.58



Below is SiAgHg2 after structural relaxation, with properties calculated at the PBE-GGA level.

Calculated values
* VASP energy: -1.950 eV/atom

abc: 2.9897 3.7141 7.9506
angles: 90.00 95.67 90.00
With the nearest neighbours (Å) after each atom.
Space group Pm (No. 6)
Symmetry-distinct sites (fractional):
Si: 0.0000 0.0000 0.0000 (multiplicity 1)  4 Ag 2.69-2.72, 2 Hg 2.84, 2 Si 2.99
Ag: 0.5342 0.5000 0.1611 (multiplicity 1)  4 Si 2.69-2.72, 2 Ag 2.99
Hg: 0.0647 0.0000 0.4243 (multiplicity 1)  4 Hg 2.99-3.08, 4 Ag 3.11-3.22
Hg: 0.9879 0.5000 0.7295 (multiplicity 1)  2 Si 2.84, 4 Hg 2.99-3.08



Below is Rb2CdTc2 after structural relaxation, with properties calculated at the PBE-GGA level.

Calculated values
* E above lowest polymorph: 0.000 eV per atom
* calculated formation energy: 335 kJ/mol of formula units

abc: 3.4989 3.4989 25.2324
angles: 90.00 90.00 90.00
With the nearest neighbours (Å) after each atom.
Space group I4/mmm (No. 139)
Symmetry-distinct sites (fractional):
Rb: 0.0000 0.0000 0.1226 (multiplicity 4)  4 Rb 3.50, 4 Tc 3.66
Cd: 0.0000 0.0000 0.5000 (multiplicity 2)  4 Cd 3.50
Tc: 0.0000 0.5000 0.2500 (multiplicity 4)  4 Tc 2.47



Below is PmAgO2 after structural relaxation, with properties calculated at the PBE-GGA level.

Calculated values
* E above lowest polymorph: 0.564 eV per atom

abc: 4.1796 4.1796 3.0875
angles: 90.00 90.00 90.00
With the nearest neighbours (Å) after each atom.
Space group P4/mmm (No. 123)
Symmetry-distinct sites (fractional):
Pm: 0.0000 0.0000 0.0000 (multiplicity 1)  8 O 2.60
Ag: 0.5000 0.5000 0.0000 (multiplicity 1)  8 O 2.60
O: 0.0000 0.5000 0.5000 (multiplicity 2)  4 Pm 2.60, 4 Ag 2.60